1.
# MgPPb

MgPPb after structural relaxation (PBE, Alexandria).

abc: 4.7993 4.7993 4.7993
angles: 60.00 60.00 60.00
Fractional positions:
Mg (0.5000, 0.5000, 0.5000)
P (0.7500, 0.7500, 0.7500)
Pb (0.0000, 0.0000, 0.0000)

Its excess energy over the best structure of this formula in the dataset is 0.76 eV/f.u. As for the crystal system: cubic. The value obtained for the density of states at the Fermi level is 1.233 states/eV per cell.

2.
# MgPPb2

MgPPb2 after structural relaxation (PBE, Alexandria).

abc: 3.9217 4.6642 6.1223
angles: 67.65 90.00 90.00
Fractional positions:
Mg (0.0000, 0.6905, 0.4961)
P (0.5000, 0.5382, 0.7938)
Pb (0.0000, 0.9733, 0.9262)
Pb (0.5000, 0.2980, 0.2840)

Its excess energy over the best structure of this formula in the dataset is 0.08 eV/f.u. As for the crystal system: monoclinic. The value obtained for the density of states at the Fermi level is 1.290 states/eV per cell.

3.
# MgP2Pb2

MgP2Pb2 after structural relaxation (PBE, Alexandria).

abc: 7.5302 7.5302 4.2580
angles: 90.00 90.00 90.00
Fractional positions:
Pb (0.1505, 0.6505, 0.5000)
Pb (0.6505, 0.8495, 0.5000)
Pb (0.8495, 0.3495, 0.5000)
Pb (0.3495, 0.1505, 0.5000)
P (0.3242, 0.8242, 0.0000)
P (0.8242, 0.6758, 0.0000)
P (0.6758, 0.1758, 0.0000)
P (0.1758, 0.3242, 0.0000)
Mg (0.0000, 0.0000, 0.0000)
Mg (0.5000, 0.5000, 0.0000)

As for the crystal system: tetragonal. The value obtained for the density of states at the Fermi level is 9.146 states/eV per cell.

4.
# MgPPb2

MgPPb2 after structural relaxation (PBE, Alexandria).

abc: 3.6841 3.6841 7.9067
angles: 90.00 90.00 90.00
Fractional positions:
Mg (0.0000, 0.0000, 0.5992)
P (0.5000, 0.5000, 0.6269)
Pb (0.0000, 0.0000, 0.9972)
Pb (0.5000, 0.5000, 0.2767)

Its excess energy over the best structure of this formula in the dataset is 0.14 eV/f.u. As for the crystal system: tetragonal. The value obtained for the density of states at the Fermi level is 1.324 states/eV per cell.

5.
# Mg2P2Pb

Mg2P2Pb after structural relaxation (PBE, Alexandria).

abc: 7.9179 7.9179 3.2661
angles: 90.00 90.00 90.00
Fractional positions:
Pb (0.0000, 0.0000, 0.0000)
Pb (0.5000, 0.5000, 0.0000)
P (0.3425, 0.8425, 0.0000)
P (0.8425, 0.6575, 0.0000)
P (0.6575, 0.1575, 0.0000)
P (0.1575, 0.3425, 0.0000)
Mg (0.1376, 0.6376, 0.5000)
Mg (0.6376, 0.8624, 0.5000)
Mg (0.8624, 0.3624, 0.5000)
Mg (0.3624, 0.1376, 0.5000)

Its excess energy over the best structure of this formula in the dataset is 0.31 eV/f.u. As for the crystal system: tetragonal. The value obtained for the density of states at the Fermi level is 2.844 states/eV per cell.

6.
# MgPPb2

MgPPb2 after structural relaxation (PBE, Alexandria).

abc: 4.9215 4.9730 4.0415
angles: 90.00 90.00 90.00
Fractional positions:
Mg (0.5000, 0.0000, 0.5000)
P (0.0000, 0.5000, 0.5000)
Pb (0.0000, 0.0000, 0.0000)
Pb (0.5000, 0.5000, 0.0000)

Its excess energy over the best structure of this formula in the dataset is 0.90 eV/f.u. As for the crystal system: orthorhombic. The value obtained for the density of states at the Fermi level is 2.352 states/eV per cell.

7.
# MgPPb2

MgPPb2 after structural relaxation (PBE, Alexandria).

abc: 4.9870 4.9870 4.0246
angles: 90.00 90.00 82.67
Fractional positions:
Mg (0.5000, 0.0000, 0.5000)
P (0.0000, 0.5000, 0.5000)
Pb (0.0000, 0.0000, 0.0000)
Pb (0.5000, 0.5000, 0.0000)

Its excess energy over the best structure of this formula in the dataset is 0.89 eV/f.u. As for the crystal system: orthorhombic. The value obtained for the density of states at the Fermi level is 2.203 states/eV per cell.

8.
# MgP4Pb

MgP4Pb after structural relaxation (PBE, Alexandria).

abc: 5.6820 5.6820 5.6820
angles: 60.00 60.00 60.00
Fractional positions:
Mg (0.0000, 0.0000, 0.0000)
P (0.9460, 0.3513, 0.3513)
P (0.3513, 0.3513, 0.9460)
P (0.3513, 0.9460, 0.3513)
P (0.3513, 0.3513, 0.3513)
Pb (0.7500, 0.7500, 0.7500)

As for the crystal system: cubic. The value obtained for the density of states at the Fermi level is 4.936 states/eV per cell.

9.
# MgPPb2

MgPPb2 after structural relaxation (PBE, Alexandria).

abc: 6.0277 6.0277 6.0277
angles: 137.14 137.14 62.22
Fractional positions:
Mg (0.5000, 0.5000, 0.0000)
P (0.7500, 0.2500, 0.5000)
Pb (0.0000, 0.0000, 0.0000)
Pb (0.2500, 0.7500, 0.5000)

Its excess energy over the best structure of this formula in the dataset is 0.94 eV/f.u. As for the crystal system: tetragonal. The value obtained for the density of states at the Fermi level is 2.221 states/eV per cell.

10.
# MgPPb2

MgPPb2 after structural relaxation (PBE, Alexandria).

abc: 6.0406 6.0406 6.0406
angles: 144.17 126.73 65.87
Fractional positions:
Mg (0.4466, 0.4466, 0.0000)
P (0.2676, 0.7676, 0.5000)
Pb (0.0457, 0.0457, 0.0000)
Pb (0.7401, 0.2401, 0.5000)

Its excess energy over the best structure of this formula in the dataset is 0.38 eV/f.u. As for the crystal system: orthorhombic. The value obtained for the density of states at the Fermi level is 1.466 states/eV per cell.

11.
# MgPPb2

MgPPb2 after structural relaxation (PBE, Alexandria).

abc: 5.2266 5.2266 5.2266
angles: 60.00 60.00 60.00
Fractional positions:
Mg (0.5000, 0.5000, 0.5000)
P (0.7500, 0.7500, 0.7500)
Pb (0.0000, 0.0000, 0.0000)
Pb (0.2500, 0.2500, 0.2500)

Its excess energy over the best structure of this formula in the dataset is 1.18 eV/f.u. As for the crystal system: cubic. The value obtained for the density of states at the Fermi level is 2.954 states/eV per cell.

12.
# MgPPb2

MgPPb2 after structural relaxation (PBE, Alexandria).

abc: 8.0947 8.0947 8.0947
angles: 28.79 28.79 28.79
Fractional positions:
Mg (0.2500, 0.2500, 0.2500)
P (0.7500, 0.7500, 0.7500)
Pb (0.0116, 0.0116, 0.0116)
Pb (0.4884, 0.4884, 0.4884)

Its excess energy over the best structure of this formula in the dataset is 0.74 eV/f.u. As for the crystal system: trigonal. The value obtained for the density of states at the Fermi level is 2.519 states/eV per cell.

13.
# Mg2P2Pb

Mg2P2Pb after structural relaxation (PBE, Alexandria).

abc: 4.1912 4.1912 6.9835
angles: 72.54 72.54 90.00
Fractional positions:
Pb (0.0000, 0.0000, 0.0000)
P (0.3699, 0.3699, 0.2602)
P (0.6301, 0.6301, 0.7398)
Mg (0.7500, 0.2500, 0.5000)
Mg (0.2500, 0.7500, 0.5000)

Its excess energy over the best structure of this formula in the dataset is 0.00 eV/f.u. As for the crystal system: tetragonal. The value obtained for the density of states at the Fermi level is 0.506 states/eV per cell.

So what do the calculations give for total energy? Going down the list: -3.53 -3.65 -3.88 -3.63 -3.72 -3.44 -3.45 -4.10 -3.43 -3.57 -3.37 -3.48 -3.78 eV/atom.
So what do the calculations give for energy of formation? Going down the list: 0.040 -0.043 0.090 -0.027 -0.178 0.164 0.160 0.388 0.174 0.034 0.233 0.122 -0.240 eV per atom.
So what do the calculations give for total moment? Going down the list: 0.00 0.00 0.00 0.00 0.00 0.00 0.00 0.00 0.00 0.00 0.00 0.00 0.00 μB per cell.